Record 1
The following is a DFT calculation (PBE) of a geometry-optimized Ac3Cd2Au6 structure.

Cell lengths 4.767, 4.767, 13.252 Å; angles 100.36, 100.36, 90.00 degrees
Positions (direct):
Au (0.107, 0.607, 0.215)
Au (0.607, 0.107, 0.215)
Au (0.319, 0.319, 0.639)
Au (0.681, 0.681, 0.361)
Au (0.893, 0.393, 0.785)
Au (0.393, 0.893, 0.785)
Ac (0.000, 0.000, 0.000)
Ac (0.195, 0.195, 0.390)
Ac (0.805, 0.805, 0.610)
Cd (0.447, 0.447, 0.894)
Cd (0.553, 0.553, 0.106)

Calculated values
The value obtained for the formation energy from the elements is -6.3 eV/f.u. Its symmetry is I4/mmm (139). As for the final energy: -3.648 eV/atom.



Record 2
The following is a DFT calculation (PBE) of a geometry-optimized PmCuGe2Pd2 structure.

Cell lengths 4.202, 4.202, 7.719 Å; angles 105.79, 105.79, 90.00 degrees
Positions (direct):
Pm (0.500, 0.500, 0.000)
Ge (0.157, 0.157, 0.314)
Ge (0.843, 0.843, 0.686)
Pd (0.250, 0.750, 0.500)
Pd (0.750, 0.250, 0.500)
Cu (0.000, 0.000, 0.000)

Calculated values
The value obtained for the formation energy from the elements is -1.8 eV/f.u. Its symmetry is I4/mmm (139). As for the final energy: -5.045 eV/atom.



Record 3
The following is a DFT calculation (PBE) of a geometry-optimized MnBeRh2 structure.

Cell lengths 4.869, 4.869, 4.869 Å; angles 144.83, 131.29, 61.49 degrees
Site moments in Bohr magnetons follow the coordinates.
Positions (direct):
Rh (0.002, 0.002, 0.000)  -0.16
Rh (0.727, 0.227, 0.500)  0.03
Mn (0.267, 0.767, 0.500)  3.01
Be (0.504, 0.504, 0.000)  -0.03

Calculated values
The value obtained for the formation energy from the elements is -0.9 eV/f.u. Its symmetry is Imm2 (44). As for the final energy: -7.128 eV/atom.



Record 4
The following is a DFT calculation (PBE) of a geometry-optimized Os2RhPb structure.

Cell lengths 4.911, 4.911, 2.915 Å; angles 90.00, 90.00, 110.45 degrees
Positions (direct):
Os (0.000, 0.500, 0.000)
Os (0.500, 0.000, 0.000)
Rh (0.500, 0.500, 0.500)
Pb (0.000, 0.000, 0.500)

Calculated values
The value obtained for the formation energy from the elements is 3.4 eV/f.u. Its symmetry is Cmmm (65). As for the final energy: -7.518 eV/atom.



Record 5
The following is a DFT calculation (PBE) of a geometry-optimized Ta2FeRe structure.

Cell lengths 2.766, 2.766, 8.708 Å; angles 90.00, 90.00, 108.75 degrees
Site moments in Bohr magnetons follow the coordinates.
Positions (direct):
Ta (0.500, 0.500, 0.268)  0.09
Ta (0.000, 0.000, 0.990)  0.01
Re (0.500, 0.500, 0.734)  0.01
Fe (0.000, 0.000, 0.508)  -2.21

Calculated values
The value obtained for the formation energy from the elements is 0.0 eV/f.u. Its symmetry is Cmm2 (35). As for the final energy: -11.156 eV/atom.



Record 6
The following is a DFT calculation (PBE) of a geometry-optimized KCdIr2 structure.

Cell lengths 10.330, 10.330, 10.330 Å; angles 16.08, 16.08, 16.08 degrees
Site moments in Bohr magnetons follow the coordinates.
Positions (direct):
Ir (0.492, 0.492, 0.492)  0.19
Ir (0.008, 0.008, 0.008)  0.19
K (0.250, 0.250, 0.250)  0.00
Cd (0.750, 0.750, 0.750)  0.00

Calculated values
The value obtained for the formation energy from the elements is 2.3 eV/f.u. Its symmetry is R-3m (166). As for the final energy: -4.351 eV/atom.



Record 7
The following is a DFT calculation (PBE) of a geometry-optimized Cs3MgAg2Cl9 structure.

Cell lengths 7.343, 7.343, 9.013 Å; angles 90.00, 90.00, 120.00 degrees
Positions (direct):
Ag (0.667, 0.333, 0.834)
Ag (0.333, 0.667, 0.166)
Cl (0.674, 0.837, 0.336)
Cl (0.163, 0.837, 0.336)
Cl (0.000, 0.500, 0.000)
Cl (0.500, 0.000, 0.000)
Cl (0.163, 0.326, 0.336)
Cl (0.500, 0.500, 0.000)
Cl (0.326, 0.163, 0.664)
Cl (0.837, 0.163, 0.664)
Cl (0.837, 0.674, 0.664)
Cs (0.667, 0.333, 0.338)
Cs (0.000, 0.000, 0.000)
Cs (0.333, 0.667, 0.662)
Mg (0.000, 0.000, 0.500)

Calculated values
For the formation energy from raw total energies, the calculation gives -1.330 eV per atom. Its symmetry is P-3m1 (164). As for the final energy: -3.095 eV/atom.



Record 8
The following is a DFT calculation (PBE) of a geometry-optimized Pu11Sn9Rh4 structure.

Cell lengths 3.883, 12.693, 12.693 Å; angles 112.32, 90.00, 90.00 degrees
Site moments in Bohr magnetons follow the coordinates.
Positions (direct):
Pu (0.000, 0.372, 0.628)  5.13
Pu (0.000, 0.065, 0.414)  5.30
Pu (0.000, 0.000, 0.000)  5.47
Pu (0.000, 0.414, 0.065)  5.30
Pu (0.000, 0.154, 0.846)  5.52
Pu (0.000, 0.586, 0.935)  5.30
Pu (0.000, 0.312, 0.312)  5.12
Pu (0.000, 0.846, 0.154)  5.52
Pu (0.000, 0.935, 0.586)  5.30
Pu (0.000, 0.628, 0.372)  5.13
Pu (0.000, 0.688, 0.688)  5.12
Sn (0.500, 0.221, 0.078)  -0.05
Sn (0.500, 0.922, 0.779)  -0.05
Sn (0.500, 0.078, 0.221)  -0.05
Sn (0.500, 0.632, 0.158)  -0.06
Sn (0.500, 0.158, 0.632)  -0.06
Sn (0.500, 0.779, 0.922)  -0.05
Sn (0.500, 0.500, 0.500)  -0.06
Sn (0.500, 0.842, 0.368)  -0.06
Sn (0.500, 0.368, 0.842)  -0.06
Rh (0.500, 0.450, 0.246)  -0.35
Rh (0.500, 0.550, 0.754)  -0.35
Rh (0.500, 0.246, 0.450)  -0.35
Rh (0.500, 0.754, 0.550)  -0.35

Calculated values
The value obtained for the formation energy from the elements is -11.5 eV/f.u. Its symmetry is Cmmm (65). As for the final energy: -9.774 eV/atom.